VASP calculation (PBE) on a relaxed structure of DyHoSc5.

abc: 5.089 5.089 7.614
angles: 90.00 90.00 90.00
Space group P4/mmm (No. 123)
Symmetry-distinct sites (fractional):
Dy: 0.000 0.000 0.000 (multiplicity 1)
Ho: 0.500 0.500 0.500 (multiplicity 1)
Sc: 0.000 0.500 0.273 (multiplicity 4)
Sc: 0.500 0.500 0.000 (multiplicity 1)

Values from the calculation:
**Energy relative to the elements**: 372.0 meV/atom
**Spin magnetization**: 0.00 μB per cell

VASP calculation (PBE) on a relaxed structure of Dy8HoSc6.

abc: 9.3737 9.3737 17.1714
angles: 90.00 90.00 120.00
Space group R-3 (No. 148, hexagonal axes)
Symmetry-distinct sites (fractional):
Dy: 0.0000 0.0000 0.0921 (multiplicity 6)
Dy: 0.0533 0.8127 0.6748 (multiplicity 18)
Ho: 0.0000 0.0000 0.5000 (multiplicity 3)
Sc: 0.0306 0.7360 0.1794 (multiplicity 18)

Values from the calculation:
**Energy relative to the elements**: 188.3 meV/atom
**Excess energy over the best structure of this formula in the dataset**: 0.0 kJ/mol of formula units
**Spin magnetization**: 0.00 μB per cell

VASP calculation (PBE) on a relaxed structure of Dy9HoSc2.

abc: 4.946 4.946 14.803
angles: 90.00 90.00 90.00
Space group P4/mmm (No. 123)
Symmetry-distinct sites (fractional):
Dy: 0.000 0.000 0.000 (multiplicity 1)
Dy: 0.000 0.000 0.336 (multiplicity 2)
Dy: 0.000 0.500 0.171 (multiplicity 4)
Dy: 0.000 0.500 0.500 (multiplicity 2)
Ho: 0.500 0.500 0.000 (multiplicity 1)
Sc: 0.500 0.500 0.335 (multiplicity 2)

Values from the calculation:
**Energy relative to the elements**: 35.2 meV/atom
**Excess energy over the best structure of this formula in the dataset**: 0.0 kJ/mol of formula units
**Spin magnetization**: 0.00 μB per cell

VASP calculation (PBE) on a relaxed structure of DyHo2Sc5.

abc: 7.554 7.554 7.562
angles: 90.00 90.00 90.00
Space group I4mm (No. 107)
Symmetry-distinct sites (fractional):
Dy: 0.000 0.000 0.000 (multiplicity 2)
Ho: 0.000 0.500 0.499 (multiplicity 4)
Sc: 0.000 0.000 0.499 (multiplicity 2)
Sc: 0.250 0.250 0.250 (multiplicity 8)

Values from the calculation:
**Energy relative to the elements**: 111.7 meV/atom
**Excess energy over the best structure of this formula in the dataset**: 41.4 kJ/mol of formula units
**Spin magnetization**: 0.00 μB per cell

VASP calculation (PBE) on a relaxed structure of DyHo2Sc5.

abc: 6.767 6.767 9.370
angles: 90.00 90.00 90.00
Space group I4mm (No. 107)
Symmetry-distinct sites (fractional):
Dy: 0.000 0.000 0.000 (multiplicity 2)
Ho: 0.000 0.500 0.000 (multiplicity 4)
Sc: 0.000 0.000 0.499 (multiplicity 2)
Sc: 0.250 0.250 0.250 (multiplicity 8)

Values from the calculation:
**Energy relative to the elements**: 58.0 meV/atom
**Excess energy over the best structure of this formula in the dataset**: 0.0 kJ/mol of formula units
**Spin magnetization**: 0.00 μB per cell

VASP calculation (PBE) on a relaxed structure of Dy12HoSc3.

abc: 4.938 4.938 19.696
angles: 90.00 90.00 90.00
Space group P4/mmm (No. 123)
Symmetry-distinct sites (fractional):
Dy: 0.000 0.000 0.000 (multiplicity 1)
Dy: 0.000 0.000 0.247 (multiplicity 2)
Dy: 0.000 0.000 0.500 (multiplicity 1)
Dy: 0.000 0.500 0.124 (multiplicity 4)
Dy: 0.000 0.500 0.372 (multiplicity 4)
Ho: 0.500 0.500 0.500 (multiplicity 1)
Sc: 0.500 0.500 0.000 (multiplicity 1)
Sc: 0.500 0.500 0.248 (multiplicity 2)

Values from the calculation:
**Energy relative to the elements**: 35.3 meV/atom
**Spin magnetization**: 0.00 μB per cell

VASP calculation (PBE) on a relaxed structure of Dy2Ho2Sc7.

abc: 6.209 11.102 9.168
angles: 90.00 108.87 90.00
Space group C2/m (No. 12)
Symmetry-distinct sites (fractional):
Dy: 0.000 0.210 0.000 (multiplicity 4)
Ho: 0.164 0.500 0.706 (multiplicity 4)
Sc: 0.000 0.000 0.500 (multiplicity 2)
Sc: 0.231 0.289 0.343 (multiplicity 8)
Sc: 0.246 0.500 0.117 (multiplicity 4)

Values from the calculation:
**Energy relative to the elements**: 174.3 meV/atom
**Spin magnetization**: 0.00 μB per cell

VASP calculation (PBE) on a relaxed structure of DyHo4Sc5.

abc: 9.729 9.729 6.019
angles: 90.00 90.00 90.00
Space group I4 (No. 79)
Symmetry-distinct sites (fractional):
Dy: 0.000 0.000 0.000 (multiplicity 2)
Ho: 0.049 0.657 0.224 (multiplicity 8)
Sc: 0.000 0.000 0.464 (multiplicity 2)
Sc: 0.144 0.772 0.718 (multiplicity 8)

Values from the calculation:
**Energy relative to the elements**: 301.4 meV/atom
**Excess energy over the best structure of this formula in the dataset**: 45.4 kJ/mol of formula units
**Spin magnetization**: 0.02 μB per cell

VASP calculation (PBE) on a relaxed structure of Dy2Ho8Sc3.

abc: 6.006 6.015 10.941
angles: 90.03 100.49 99.53
Space group P-1 (No. 2)
Symmetry-distinct sites (fractional):
Dy: 0.115 0.269 0.461 (multiplicity 2)
Ho: 0.041 0.419 0.148 (multiplicity 2)
Ho: 0.194 0.119 0.778 (multiplicity 2)
Ho: 0.346 0.808 0.380 (multiplicity 2)
Ho: 0.424 0.658 0.699 (multiplicity 2)
Sc: 0.273 0.961 0.074 (multiplicity 2)
Sc: 0.500 0.500 0.000 (multiplicity 1)

Values from the calculation:
**Energy relative to the elements**: 42.2 meV/atom
**Excess energy over the best structure of this formula in the dataset**: 0.0 kJ/mol of formula units
**Spin magnetization**: 0.00 μB per cell

VASP calculation (PBE) on a relaxed structure of Dy19Ho4Sc6.

abc: 12.241 12.241 12.241
angles: 90.00 90.00 90.00
Space group I23 (No. 197)
Symmetry-distinct sites (fractional):
Dy: 0.000 0.000 0.000 (multiplicity 2)
Dy: 0.000 0.000 0.265 (multiplicity 12)
Dy: 0.058 0.282 0.726 (multiplicity 24)
Ho: 0.179 0.179 0.179 (multiplicity 8)
Sc: 0.000 0.117 0.500 (multiplicity 12)

Values from the calculation:
**Energy relative to the elements**: 394.5 meV/atom
**Spin magnetization**: 4.73 μB per cell

VASP calculation (PBE) on a relaxed structure of Dy2Ho3Sc6.

abc: 3.3993 3.3993 89.9907
angles: 90.00 90.00 120.00
Space group R-3m (No. 166, hexagonal axes)
Symmetry-distinct sites (fractional):
Dy: 0.0000 0.0000 0.0450 (multiplicity 6)
Ho: 0.0000 0.0000 0.2275 (multiplicity 6)
Ho: 0.0000 0.0000 0.5000 (multiplicity 3)
Sc: 0.0000 0.0000 0.1362 (multiplicity 6)
Sc: 0.0000 0.0000 0.3191 (multiplicity 6)
Sc: 0.0000 0.0000 0.4088 (multiplicity 6)

Values from the calculation:
**Energy relative to the elements**: 56.9 meV/atom
**Spin magnetization**: 0.00 μB per cell

VASP calculation (PBE) on a relaxed structure of Dy3Ho4Sc2.

abc: 9.436 16.548 6.844
angles: 90.00 90.00 90.00
Space group Cccm (No. 66)
Symmetry-distinct sites (fractional):
Dy: 0.000 0.000 0.250 (multiplicity 4)
Dy: 0.000 0.328 0.250 (multiplicity 8)
Ho: 0.168 0.487 0.000 (multiplicity 8)
Ho: 0.173 0.161 0.500 (multiplicity 8)
Sc: 0.159 0.173 0.000 (multiplicity 8)

Values from the calculation:
**Energy relative to the elements**: 70.5 meV/atom
**Excess energy over the best structure of this formula in the dataset**: 0.0 kJ/mol of formula units
**Spin magnetization**: 0.00 μB per cell